No. 1
This record from the Alexandria database describes a PBEsol-optimized structure of In2CoTe. The functional is meta-GGA SCAN.

abc: 3.083 3.083 8.787
angles: 90.00 90.00 90.00
Element x y z (fractional)
1 In 0.000 0.000 0.176
2 In 0.000 0.000 0.824
3 Co 0.500 0.500 0.000
4 Te 0.500 0.500 0.500

Properties
**Calculated density**: 8.3 Mg/m³
**Energy**: -30.083 eV/atom
**Spin magnetization**: 1.188 μB/cell
**D(E_F)**: 0.60 states/eV/atom
**Formation energy from raw total energies**: 249 meV/atom

No. 2
This record from the Alexandria database describes a PBEsol-optimized structure of InCoTe2. The functional is meta-GGA SCAN.

abc: 3.890 4.127 5.939
angles: 90.00 90.00 90.00
Element x y z (fractional)
1 In 0.000 0.000 0.000
2 Co 0.000 0.500 0.500
3 Te 0.500 0.000 0.500
4 Te 0.500 0.500 0.000

Properties
**Calculated density**: 7.5 Mg/m³
**Energy**: -30.907 eV/atom
**Spin magnetization**: 2.061 μB/cell
**D(E_F)**: 0.64 states/eV/atom
**Formation energy from raw total energies**: 391 meV/atom

No. 3
This record from the Alexandria database describes a PBEsol-optimized structure of In2CoTe. The functional is meta-GGA SCAN.

abc: 6.843 6.843 6.843
angles: 153.51 143.14 45.96
Element x y z (fractional)
1 In 0.000 0.000 0.000
2 In 0.669 0.169 0.500
3 Co 0.485 0.485 0.000
4 Te 0.324 0.824 0.500

Properties
**Calculated density**: 8.1 Mg/m³
**Energy**: -30.174 eV/atom
**Spin magnetization**: 0.007 μB/cell
**D(E_F)**: 0.60 states/eV/atom
**Formation energy from raw total energies**: 158 meV/atom

No. 4
This record from the Alexandria database describes a PBEsol-optimized structure of In2CoTe. The functional is meta-GGA SCAN.

abc: 4.965 4.965 3.684
angles: 90.00 90.00 110.43
Element x y z (fractional)
1 In 0.000 0.500 0.000
2 In 0.500 0.000 0.000
3 Co 0.000 0.000 0.500
4 Te 0.500 0.500 0.500

Properties
**Calculated density**: 8.1 Mg/m³
**Energy**: -29.961 eV/atom
**Spin magnetization**: 1.979 μB/cell
**D(E_F)**: 0.48 states/eV/atom
**Formation energy from raw total energies**: 371 meV/atom

No. 5
This record from the Alexandria database describes a PBEsol-optimized structure of TlInCo4. The functional is meta-GGA SCAN.

abc: 4.888 4.888 4.888
angles: 60.00 60.00 60.00
Element x y z (fractional)
1 Tl 0.000 0.000 0.000
2 In 0.250 0.250 0.250
3 Co 0.126 0.625 0.625
4 Co 0.625 0.126 0.625
5 Co 0.625 0.625 0.126
6 Co 0.625 0.625 0.625

Properties
**Calculated density**: 11.2 Mg/m³
**Energy**: -28.785 eV/atom
**Spin magnetization**: 7.424 μB/cell
**D(E_F)**: 1.16 states/eV/atom
**Energy of formation from the pure elements**: 2.25 eV/f.u.

No. 6
This record from the Alexandria database describes a PBEsol-optimized structure of TlIn3Co. The functional is meta-GGA SCAN.

abc: 4.913 4.913 4.913
angles: 90.00 90.00 90.00
Element x y z (fractional)
1 Tl 0.000 0.000 0.000
2 In 0.000 0.500 0.500
3 In 0.500 0.000 0.500
4 In 0.500 0.500 0.000
5 Co 0.500 0.500 0.500

Properties
**Calculated density**: 8.5 Mg/m³
**Energy**: -37.906 eV/atom
**Spin magnetization**: 0.001 μB/cell
**D(E_F)**: 0.39 states/eV/atom
**Energy of formation from the pure elements**: 0.29 eV/f.u.

No. 7
This record from the Alexandria database describes a PBEsol-optimized structure of TlIn2Co2. The functional is meta-GGA SCAN.

abc: 6.263 6.263 6.263
angles: 142.47 142.47 54.12
Element x y z (fractional)
1 Tl 0.000 0.000 0.000
2 In 0.250 0.750 0.500
3 In 0.750 0.250 0.500
4 Co 0.400 0.400 0.000
5 Co 0.600 0.600 0.000

Properties
**Calculated density**: 10.1 Mg/m³
**Energy**: -34.166 eV/atom
**Spin magnetization**: 0.003 μB/cell
**D(E_F)**: 0.66 states/eV/atom
**Energy of formation from the pure elements**: 2.91 eV/f.u.

No. 8
This record from the Alexandria database describes a PBEsol-optimized structure of TmIn5Co. The functional is meta-GGA SCAN.

abc: 4.478 4.478 7.329
angles: 90.00 90.00 90.00
Element x y z (fractional)
1 Tm 0.000 0.000 0.000
2 In 0.000 0.500 0.305
3 In 0.000 0.500 0.695
4 In 0.500 0.000 0.305
5 In 0.500 0.000 0.695
6 In 0.500 0.500 0.000
7 Co 0.000 0.000 0.500

Properties
**Calculated density**: 9.1 Mg/m³
**Energy**: -33.995 eV/atom
**Spin magnetization**: 0.000 μB/cell
**D(E_F)**: 0.30 states/eV/atom
**Energy of formation from the pure elements**: -1.89 eV/f.u.

No. 9
This record from the Alexandria database describes a PBEsol-optimized structure of Tm8In3Co. The functional is meta-GGA SCAN.

abc: 10.056 10.056 6.781
angles: 90.00 90.00 120.00
Element x y z (fractional)
1 Tm 0.000 0.000 0.280
2 Tm 0.000 0.000 0.780
3 Tm 0.068 0.534 0.291
4 Tm 0.179 0.357 0.000
5 Tm 0.179 0.821 0.000
6 Tm 0.333 0.667 0.681
7 Tm 0.357 0.179 0.500
8 Tm 0.466 0.534 0.291
9 Tm 0.466 0.932 0.291
10 Tm 0.534 0.068 0.791
11 Tm 0.534 0.466 0.791
12 Tm 0.643 0.821 0.000
13 Tm 0.667 0.333 0.181
14 Tm 0.821 0.179 0.500
15 Tm 0.821 0.643 0.500
16 Tm 0.932 0.466 0.791
17 In 0.163 0.326 0.538
18 In 0.163 0.837 0.538
19 In 0.326 0.163 0.038
20 In 0.674 0.837 0.538
21 In 0.837 0.163 0.038
22 In 0.837 0.674 0.038
23 Co 0.333 0.667 0.070
24 Co 0.667 0.333 0.570

Properties
**Calculated density**: 9.8 Mg/m³
**Energy**: -44.799 eV/atom
**Spin magnetization**: 0.000 μB/cell
**D(E_F)**: 0.25 states/eV/atom
**Energy of formation from the pure elements**: -5.47 eV/f.u.

No. 10
This record from the Alexandria database describes a PBEsol-optimized structure of InCo3W. The functional is meta-GGA SCAN.

abc: 4.403 4.403 4.403
angles: 90.00 90.00 90.00
Element x y z (fractional)
1 In 0.000 0.000 0.000
2 Co 0.000 0.000 0.500
3 Co 0.000 0.500 0.000
4 Co 0.500 0.000 0.000
5 W 0.500 0.500 0.500

Properties
**Calculated density**: 9.2 Mg/m³
**Energy**: -28.783 eV/atom
**Spin magnetization**: 5.616 μB/cell
**D(E_F)**: 0.84 states/eV/atom
**Energy of formation from the pure elements**: 11.07 eV/f.u.

No. 11
This record from the Alexandria database describes a PBEsol-optimized structure of YInCo2. The functional is meta-GGA SCAN.

abc: 4.950 3.933 7.030
angles: 90.00 90.00 90.00
Element x y z (fractional)
1 Y 0.250 0.000 0.220
2 Y 0.750 0.000 0.780
3 In 0.250 0.500 0.849
4 In 0.750 0.500 0.151
5 Co 0.000 0.500 0.500
6 Co 0.250 0.000 0.590
7 Co 0.500 0.500 0.500
8 Co 0.750 0.000 0.410

Properties
**Calculated density**: 7.8 Mg/m³
**Energy**: -24.266 eV/atom
**Spin magnetization**: 5.797 μB/cell
**D(E_F)**: 0.65 states/eV/atom
**Energy of formation from the pure elements**: -1.23 eV/f.u.

No. 12
This record from the Alexandria database describes a PBEsol-optimized structure of YInCo2. The functional is meta-GGA SCAN.

abc: 6.073 6.073 6.073
angles: 37.29 37.29 37.29
Element x y z (fractional)
1 Y 0.000 0.000 0.000
2 In 0.193 0.193 0.193
3 Co 0.440 0.440 0.440
4 Co 0.772 0.772 0.772

Properties
**Calculated density**: 7.2 Mg/m³
**Energy**: -24.075 eV/atom
**Spin magnetization**: 2.280 μB/cell
**D(E_F)**: 0.50 states/eV/atom
**Energy of formation from the pure elements**: -0.46 eV/f.u.